[1]
VASP calculation (PBE) on an optimized crystal structure of NpMn2Sn.

Lattice parameters (Å, degrees): 4.6247 4.6247 3.1983 90.00 90.00 90.00
Sites, in units of the cell vectors:
Np 0.0000 0.0000 0.0000
Mn 0.0000 0.5000 0.5000
Mn 0.5000 0.0000 0.5000
Sn 0.5000 0.5000 0.0000

Values from the calculation:
size of the total moment	0.225	μB per atom
SG	P4/mmm, No. 123
energy relative to the elements	0.0868	eV/atom



[2]
VASP calculation (PBE) on an optimized crystal structure of CsIn3Re.

Lattice parameters (Å, degrees): 5.3665 5.3665 5.3665 90.00 90.00 90.00
Sites, in units of the cell vectors:
Cs 0.0000 0.0000 0.0000
In 0.0000 0.5000 0.5000
In 0.5000 0.0000 0.5000
In 0.5000 0.5000 0.0000
Re 0.5000 0.5000 0.5000

Values from the calculation:
size of the total moment	0.000	μB per atom
SG	Pm-3m, No. 221
excess energy over the best structure of this formula in the dataset	0.0	kJ/mol of formula units
energy relative to the elements	0.1629	eV/atom



[3]
VASP calculation (PBE) on an optimized crystal structure of Pr13Er2.

Lattice parameters (Å, degrees): 6.8408 9.2430 9.2518 66.46 82.39 82.24
Sites, in units of the cell vectors:
Pr 0.0000 0.0000 0.0000
Pr 0.1015 0.4363 0.7656
Pr 0.1925 0.1921 0.2108
Pr 0.2980 0.6277 0.9739
Pr 0.3045 0.9615 0.6387
Pr 0.3953 0.3970 0.4071
Pr 0.4988 0.1690 0.8349
Pr 0.5012 0.8310 0.1651
Pr 0.6047 0.6030 0.5929
Pr 0.6955 0.0385 0.3613
Pr 0.7020 0.3723 0.0261
Pr 0.8075 0.8079 0.7892
Pr 0.8985 0.5637 0.2344
Er 0.0995 0.7676 0.4302
Er 0.9005 0.2324 0.5698

Values from the calculation:
size of the total moment	0.000	μB per atom
SG	P-1, No. 2
excess energy over the best structure of this formula in the dataset	0.0	kJ/mol of formula units
energy relative to the elements	0.0538	eV/atom